VASP calculation (GGA+U) on a relaxed structure of Cd2FePbO4.

Lattice parameters (Å, degrees): 6.0988 6.0988 11.6440 90.00 90.00 146.98
Closest atoms and distances in Å follow each position.
Fractional positions:
Cd (0.1278, 0.8722, 0.5348)  5 O 2.29-2.51
Cd (0.1278, 0.8722, 0.9652)  5 O 2.29-2.51
Cd (0.8722, 0.1278, 0.0348)  5 O 2.29-2.51
Cd (0.8722, 0.1278, 0.4652)  5 O 2.29-2.51
Fe (0.3728, 0.6272, 0.2500)  4 O 1.94-2.11
Fe (0.6272, 0.3728, 0.7500)  4 O 1.94-2.11
Pb (0.3641, 0.6359, 0.7500)  6 O 2.60-2.80
Pb (0.6359, 0.3641, 0.2500)  6 O 2.60-2.80
O (0.0519, 0.9481, 0.7500)  2 Fe 1.94
O (0.2441, 0.7559, 0.1233)  1 Fe 2.11, 1 Cd 2.29
O (0.2441, 0.7559, 0.3767)  1 Fe 2.11, 1 Cd 2.29
O (0.5000, 0.5000, 0.0000)  4 Cd 2.32
O (0.5000, 0.5000, 0.5000)  4 Cd 2.32
O (0.7559, 0.2441, 0.6233)  1 Fe 2.11, 1 Cd 2.29
O (0.7559, 0.2441, 0.8767)  1 Fe 2.11, 1 Cd 2.29
O (0.9481, 0.0519, 0.2500)  2 Fe 1.94

Values from the calculation:
E_tot: -4.862 eV per atom
Theoretical density: 7.77 g/cm3